22
Lattice="4.478 0.000 0.000 0.000 9.903 0.000 -0.676 0.000 5.262" Properties=species:S:1:pos:R:3 comment="Co2P2O7 PBE+U relaxed" dft_energy_ev_per_atom=-6.867 spacegroup=P2_1/c pbc="T T T"
Co 0.200 1.540 2.170
Co -0.138 3.411 4.801
Co 3.940 6.492 0.461
Co 3.602 8.362 3.092
P 1.145 6.064 3.443
P 1.483 8.790 0.812
P 2.319 1.113 4.449
P 2.657 3.839 1.819
O 0.216 6.747 2.439
O -0.122 8.107 5.070
O 0.349 5.361 4.553
O 0.687 9.494 1.922
O 1.230 2.028 3.892
O 1.568 2.924 1.261
O 2.239 0.000 0.000
O 1.901 4.951 2.631
O 2.234 6.979 4.001
O 2.572 7.875 1.370
O 3.115 0.409 3.340
O 3.453 4.542 0.709
O 3.924 1.796 0.192
O 3.586 3.156 2.823